Entry 1:
Here is a relaxed structure of La12Tb7Sm from Alexandria via LeMat-Bulk. Energies are from PBE.

Cell and atoms, written as POSCAR:
```
La12Tb7Sm
1.0
9.819 5.669 2.130
-9.819 5.669 2.130
0.000 -11.338 2.130
La Tb Sm
12 7 1
direct
0.000 0.408 0.592 La
0.000 0.592 0.408 La
0.070 0.070 0.425 La
0.070 0.425 0.070 La
0.408 0.000 0.592 La
0.408 0.592 0.000 La
0.425 0.070 0.070 La
0.575 0.930 0.930 La
0.592 0.000 0.408 La
0.592 0.408 0.000 La
0.930 0.575 0.930 La
0.930 0.930 0.575 La
0.000 0.000 0.000 Tb
0.135 0.385 0.385 Tb
0.385 0.135 0.385 Tb
0.385 0.385 0.135 Tb
0.615 0.615 0.865 Tb
0.615 0.865 0.615 Tb
0.865 0.615 0.615 Tb
0.500 0.500 0.500 Sm
```

Values from the calculation:
The calculation puts the energy relative to the elements at 194 meV per atom. Its energy is -92.37 eV per cell. Its energy above the most stable polymorph in this dataset is 0.0042 eV per atom. The calculation puts the magnetic moment at 0.0 μB per formula unit.

=====

Entry 2:
Here is a relaxed structure of La2Tb12Sm from Alexandria via LeMat-Bulk. Energies are from PBE.

Cell and atoms, written as POSCAR:
```
La2Tb12Sm
1.0
6.480 0.000 0.000
0.000 6.480 0.000
0.000 0.000 25.150
La Tb Sm
4 24 2
direct
0.250 0.750 0.231 La
0.250 0.750 0.769 La
0.750 0.250 0.231 La
0.750 0.250 0.769 La
0.063 0.563 0.384 Tb
0.063 0.937 0.616 Tb
0.082 0.582 0.940 Tb
0.082 0.918 0.060 Tb
0.250 0.250 0.160 Tb
0.250 0.250 0.284 Tb
0.250 0.250 0.716 Tb
0.250 0.250 0.840 Tb
0.418 0.582 0.060 Tb
0.418 0.918 0.940 Tb
0.437 0.563 0.616 Tb
0.437 0.937 0.384 Tb
0.563 0.063 0.616 Tb
0.563 0.437 0.384 Tb
0.582 0.082 0.060 Tb
0.582 0.418 0.940 Tb
0.750 0.750 0.160 Tb
0.750 0.750 0.284 Tb
0.750 0.750 0.716 Tb
0.750 0.750 0.840 Tb
0.918 0.082 0.940 Tb
0.918 0.418 0.060 Tb
0.937 0.063 0.384 Tb
0.937 0.437 0.616 Tb
0.250 0.750 0.500 Sm
0.750 0.250 0.500 Sm
```

Values from the calculation:
The calculation puts the energy relative to the elements at 313 meV per atom. Its energy is -130.88 eV per cell. The calculation puts the magnetic moment at 0.0 μB per formula unit.

=====

Entry 3:
Here is a relaxed structure of LaTb2Sm8 from Alexandria via LeMat-Bulk. Energies are from PBE.

Cell and atoms, written as POSCAR:
```
LaTb2Sm8
1.0
9.726 -3.539 0.000
9.726 3.539 0.000
-0.331 0.000 5.638
La Tb Sm
1 2 8
direct
0.000 0.000 0.000 La
0.285 0.285 0.746 Tb
0.715 0.715 0.254 Tb
0.135 0.598 0.269 Sm
0.189 0.189 0.232 Sm
0.402 0.865 0.731 Sm
0.455 0.455 0.761 Sm
0.545 0.545 0.239 Sm
0.598 0.135 0.269 Sm
0.811 0.811 0.768 Sm
0.865 0.402 0.731 Sm
```

Values from the calculation:
The calculation puts the energy relative to the elements at 138 meV per atom. Its energy is -50.43 eV per cell. Its energy above the most stable polymorph in this dataset is 0.0263 eV per atom. The calculation puts the magnetic moment at 0.0 μB per formula unit.

=====

Entry 4:
Here is a relaxed structure of La2Tb9Sm from Alexandria via LeMat-Bulk. Energies are from PBE.

Cell and atoms, written as POSCAR:
```
La2Tb9Sm
1.0
11.418 0.000 0.000
-5.709 9.888 0.000
0.000 0.000 3.503
La Tb Sm
2 9 1
direct
0.333 0.667 0.000 La
0.667 0.333 0.000 La
0.000 0.500 0.000 Tb
0.172 0.344 0.500 Tb
0.172 0.828 0.500 Tb
0.344 0.172 0.500 Tb
0.500 0.000 0.000 Tb
0.500 0.500 0.000 Tb
0.656 0.828 0.500 Tb
0.828 0.172 0.500 Tb
0.828 0.656 0.500 Tb
0.000 0.000 0.000 Sm
```

Values from the calculation:
The calculation puts the energy relative to the elements at 77 meV per atom. Its energy is -55.33 eV per cell. Its energy above the most stable polymorph in this dataset is 0.0524 eV per atom. The calculation puts the magnetic moment at 0.0 μB per formula unit.

=====

Entry 5:
Here is a relaxed structure of La3Tb4Sm2 from Alexandria via LeMat-Bulk. Energies are from PBE.

Cell and atoms, written as POSCAR:
```
La3Tb4Sm2
1.0
7.727 -2.573 0.000
7.727 2.573 0.000
-2.592 0.000 7.726
La Tb Sm
3 4 2
direct
0.000 0.000 0.000 La
0.112 0.112 0.665 La
0.888 0.888 0.335 La
0.221 0.221 0.331 Tb
0.332 0.332 0.000 Tb
0.668 0.668 0.000 Tb
0.779 0.779 0.669 Tb
0.443 0.443 0.669 Sm
0.557 0.557 0.331 Sm
```

Values from the calculation:
The calculation puts the energy relative to the elements at 28 meV per atom. Its energy is -42.49 eV per cell. Its energy above the most stable polymorph in this dataset is 0.0000 eV per atom. The calculation puts the magnetic moment at 0.0 μB per formula unit.

=====

Entry 6:
Here is a relaxed structure of La4TbSm5 from Alexandria via LeMat-Bulk. Energies are from PBE.

Cell and atoms, written as POSCAR:
```
La4TbSm5
1.0
10.757 0.000 0.000
0.000 10.757 0.000
0.000 0.000 5.983
La Tb Sm
8 2 10
direct
0.048 0.750 0.128 La
0.250 0.548 0.872 La
0.250 0.952 0.872 La
0.452 0.750 0.128 La
0.548 0.250 0.872 La
0.750 0.048 0.128 La
0.750 0.452 0.128 La
0.952 0.250 0.872 La
0.250 0.250 0.855 Tb
0.750 0.750 0.145 Tb
0.090 0.090 0.347 Sm
0.090 0.410 0.347 Sm
0.250 0.750 0.500 Sm
0.410 0.090 0.347 Sm
0.410 0.410 0.347 Sm
0.590 0.590 0.653 Sm
0.590 0.910 0.653 Sm
0.750 0.250 0.500 Sm
0.910 0.590 0.653 Sm
0.910 0.910 0.653 Sm
```

Values from the calculation:
The calculation puts the energy relative to the elements at 163 meV per atom. Its energy is -92.61 eV per cell. Its energy above the most stable polymorph in this dataset is 0.0037 eV per atom. The calculation puts the magnetic moment at 0.0 μB per formula unit.